## Th3I4Cl2 (PBE)

Data for a relaxed Th3I4Cl2 crystal.

ρ   5.0 Mg/m³
Formation energy without anion corrections   -1249 meV per atom

a b c (Å): 3.9365 3.9365 31.3261
angles (deg): 90.00 90.00 120.00
Sites, in units of the cell vectors:
Cl 0.0000 0.0000 0.9421
I 0.6667 0.3333 0.1881
I 0.6667 0.3333 0.3342
Th 0.6667 0.3333 0.0000
I 0.6667 0.3333 0.8119
Th 0.0000 0.0000 0.7389
Cl 0.0000 0.0000 0.0579
I 0.6667 0.3333 0.6657
Th 0.0000 0.0000 0.2611

=====

## TiPd2Pt3 (PBE)

Data for a relaxed TiPd2Pt3 crystal.

Excess energy over the best structure of this formula in the dataset   0.00 eV per formula unit
ρ   15.1 Mg/m³
Formation enthalpy at 0 K   -0.4632 eV/atom

a b c (Å): 4.5241 4.9365 8.3452
angles (deg): 90.00 90.00 90.00
Sites, in units of the cell vectors:
Pd 0.5000 0.1199 0.4131
Pd 0.0000 0.4443 0.7668
Pt 0.0000 0.9444 0.5849
Pd 0.0000 0.9443 0.2332
Pt 0.5000 0.1215 0.7469
Pt 0.5000 0.6234 0.9223
Ti 0.0000 0.4477 0.1064
Ti 0.0000 0.9477 0.8936
Pt 0.5000 0.1234 0.0777
Pd 0.5000 0.6199 0.5869
Pt 0.5000 0.6215 0.2531
Pt 0.0000 0.4444 0.4151